1.
A plane-wave DFT calculation with PBE was carried out for a geometry-optimized Tm2In3Hg4 structure.

M_tot (Bohr magnetons per cell): 0.000
Formation enthalpy at 0 K (eV per atom): -0.16
Crystal system: orthorhombic

a b c (Å): 6.073 9.808 8.273
angles (deg): 90.00 111.53 90.00
Element x y z (fractional)
Tm: 0.113 0.517 0.225
Tm: 0.887 0.483 0.775
Tm: 0.387 0.017 0.775
Tm: 0.613 0.983 0.225
In: 0.000 0.000 0.000
In: 0.500 0.500 0.000
In: 0.540 0.750 0.580
In: 0.960 0.250 0.420
In: 0.460 0.250 0.420
In: 0.040 0.750 0.580
Hg: 0.740 0.750 0.980
Hg: 0.760 0.250 0.020
Hg: 0.260 0.250 0.020
Hg: 0.240 0.750 0.980
Hg: 0.186 0.958 0.371
Hg: 0.814 0.042 0.629
Hg: 0.314 0.458 0.629
Hg: 0.686 0.542 0.371

2.
A plane-wave DFT calculation with PBE was carried out for a geometry-optimized TmInHg3 structure.

Distance to the lowest polymorph of the same formula (eV per atom): 0.000
M_tot (Bohr magnetons per cell): 0.000
Formation enthalpy at 0 K (eV per atom): -0.20
Crystal system: monoclinic

a b c (Å): 4.915 8.047 6.680
angles (deg): 102.92 90.00 107.78
Element x y z (fractional)
Tm: 0.879 0.759 0.017
Tm: 0.121 0.241 0.983
In: 0.517 0.034 0.228
In: 0.483 0.966 0.772
Hg: 0.097 0.194 0.448
Hg: 0.903 0.806 0.552
Hg: 0.327 0.654 0.270
Hg: 0.673 0.346 0.730
Hg: 0.286 0.572 0.761
Hg: 0.714 0.428 0.239

3.
A plane-wave DFT calculation with PBE was carried out for a geometry-optimized TmIn3Hg3 structure.

M_tot (Bohr magnetons per cell): 0.000
Formation enthalpy at 0 K (eV per atom): -0.12
Crystal system: monoclinic

a b c (Å): 6.387 6.387 9.964
angles (deg): 80.72 80.72 73.87
Element x y z (fractional)
Tm: 0.212 0.212 0.989
Tm: 0.788 0.788 0.011
In: 0.279 0.279 0.503
In: 0.220 0.780 0.500
In: 0.780 0.220 0.500
In: 0.309 0.691 0.000
In: 0.691 0.309 0.000
In: 0.721 0.721 0.497
Hg: 0.040 0.040 0.763
Hg: 0.450 0.999 0.242
Hg: 0.999 0.450 0.242
Hg: 0.550 0.001 0.758
Hg: 0.001 0.550 0.758
Hg: 0.960 0.960 0.237

4.
A plane-wave DFT calculation with PBE was carried out for a geometry-optimized Tm11In9Hg4 structure.

M_tot (Bohr magnetons per cell): 0.000
Formation enthalpy at 0 K (eV per atom): -0.42
Crystal system: orthorhombic

a b c (Å): 3.695 13.391 13.391
angles (deg): 113.13 90.00 90.00
Element x y z (fractional)
Tm: 0.000 0.590 0.941
Tm: 0.000 0.410 0.059
Tm: 0.000 0.941 0.590
Tm: 0.000 0.059 0.410
Tm: 0.000 0.637 0.363
Tm: 0.000 0.363 0.637
Tm: 0.000 0.839 0.161
Tm: 0.000 0.161 0.839
Tm: 0.000 0.000 0.000
Tm: 0.000 0.711 0.711
Tm: 0.000 0.289 0.289
In: 0.500 0.632 0.153
In: 0.500 0.368 0.847
In: 0.500 0.153 0.632
In: 0.500 0.847 0.368
In: 0.500 0.790 0.941
In: 0.500 0.210 0.059
In: 0.500 0.941 0.790
In: 0.500 0.059 0.210
In: 0.500 0.500 0.500
Hg: 0.500 0.552 0.751
Hg: 0.500 0.448 0.249
Hg: 0.500 0.751 0.552
Hg: 0.500 0.249 0.448

5.
A plane-wave DFT calculation with PBE was carried out for a geometry-optimized Tm3InHg structure.

Distance to the lowest polymorph of the same formula (eV per atom): 0.152
M_tot (Bohr magnetons per cell): 0.000
Formation enthalpy at 0 K (eV per atom): -0.20
Crystal system: orthorhombic

a b c (Å): 6.177 9.069 9.851
angles (deg): 90.00 90.00 90.00
Element x y z (fractional)
Tm: 0.919 0.174 0.067
Tm: 0.581 0.674 0.567
Tm: 0.581 0.674 0.933
Tm: 0.081 0.826 0.567
Tm: 0.081 0.826 0.933
Tm: 0.419 0.326 0.433
Tm: 0.419 0.326 0.067
Tm: 0.919 0.174 0.433
Tm: 0.272 0.145 0.750
Tm: 0.228 0.645 0.250
Tm: 0.728 0.855 0.250
Tm: 0.772 0.355 0.750
In: 0.000 0.500 0.000
In: 0.500 0.000 0.500
In: 0.500 0.000 0.000
In: 0.000 0.500 0.500
Hg: 0.295 0.492 0.750
Hg: 0.205 0.992 0.250
Hg: 0.705 0.508 0.250
Hg: 0.795 0.008 0.750

6.
A plane-wave DFT calculation with PBE was carried out for a geometry-optimized Tm2In5Hg12 structure.

Distance to the lowest polymorph of the same formula (eV per atom): 0.079
M_tot (Bohr magnetons per cell): 0.000
Formation enthalpy at 0 K (eV per atom): -0.02
Crystal system: monoclinic

a b c (Å): 7.595 9.128 9.022
angles (deg): 107.13 90.00 114.59
Element x y z (fractional)
Tm: 0.731 0.000 0.000
Tm: 0.269 0.000 0.000
In: 0.248 0.495 0.555
In: 0.359 0.718 0.100
In: 0.000 0.000 0.500
In: 0.641 0.282 0.900
In: 0.752 0.505 0.445
Hg: 0.075 0.150 0.255
Hg: 0.013 0.600 0.866
Hg: 0.587 0.600 0.866
Hg: 0.160 0.749 0.394
Hg: 0.589 0.749 0.394
Hg: 0.442 0.884 0.703
Hg: 0.558 0.116 0.297
Hg: 0.840 0.251 0.606
Hg: 0.411 0.251 0.606
Hg: 0.987 0.400 0.134
Hg: 0.413 0.400 0.134
Hg: 0.925 0.850 0.745

7.
A plane-wave DFT calculation with PBE was carried out for a geometry-optimized Tm6In2Hg structure.

M_tot (Bohr magnetons per cell): 0.000
Formation enthalpy at 0 K (eV per atom): -0.22
Crystal system: monoclinic

a b c (Å): 5.864 8.932 9.648
angles (deg): 90.00 85.88 90.00
Element x y z (fractional)
Tm: 0.911 0.976 0.189
Tm: 0.915 0.668 0.567
Tm: 0.947 0.675 0.935
Tm: 0.553 0.175 0.565
Tm: 0.585 0.168 0.933
Tm: 0.589 0.476 0.311
Tm: 0.089 0.024 0.811
Tm: 0.085 0.332 0.433
Tm: 0.053 0.325 0.065
Tm: 0.447 0.825 0.435
Tm: 0.415 0.832 0.067
Tm: 0.411 0.524 0.689
In: 0.928 0.364 0.748
In: 0.572 0.864 0.752
In: 0.428 0.136 0.248
In: 0.072 0.636 0.252
Hg: 0.500 0.500 0.000
Hg: 0.000 0.000 0.500

8.
A plane-wave DFT calculation with PBE was carried out for a geometry-optimized Tm3InHg12 structure.

M_tot (Bohr magnetons per cell): 0.000
Formation enthalpy at 0 K (eV per atom): -0.21
Crystal system: tetragonal

a b c (Å): 4.589 4.589 18.399
angles (deg): 90.00 90.00 90.00
Element x y z (fractional)
Tm: 0.000 0.000 0.245
Tm: 0.000 0.000 0.500
Tm: 0.000 0.000 0.755
In: 0.000 0.000 0.000
Hg: 0.500 0.500 0.000
Hg: 0.500 0.500 0.256
Hg: 0.500 0.500 0.500
Hg: 0.500 0.500 0.744
Hg: 0.500 0.000 0.127
Hg: 0.500 0.000 0.376
Hg: 0.500 0.000 0.624
Hg: 0.500 0.000 0.873
Hg: 0.000 0.500 0.127
Hg: 0.000 0.500 0.376
Hg: 0.000 0.500 0.624
Hg: 0.000 0.500 0.873

9.
A plane-wave DFT calculation with PBE was carried out for a geometry-optimized Tm2InHg9 structure.

M_tot (Bohr magnetons per cell): 0.000
Formation enthalpy at 0 K (eV per atom): -0.18
Crystal system: tetragonal

a b c (Å): 4.595 4.595 13.863
angles (deg): 90.00 90.00 90.00
Element x y z (fractional)
Tm: 0.000 0.000 0.327
Tm: 0.000 0.000 0.673
In: 0.000 0.000 0.000
Hg: 0.500 0.500 0.000
Hg: 0.500 0.500 0.340
Hg: 0.500 0.500 0.660
Hg: 0.500 0.000 0.170
Hg: 0.500 0.000 0.500
Hg: 0.500 0.000 0.830
Hg: 0.000 0.500 0.170
Hg: 0.000 0.500 0.500
Hg: 0.000 0.500 0.830

10.
A plane-wave DFT calculation with PBE was carried out for a geometry-optimized Tm2InHg5 structure.

Distance to the lowest polymorph of the same formula (eV per atom): 0.000
M_tot (Bohr magnetons per cell): 0.000
Formation enthalpy at 0 K (eV per atom): -0.29
Crystal system: orthorhombic

a b c (Å): 4.663 6.398 12.827
angles (deg): 90.00 90.00 90.00
Element x y z (fractional)
Tm: 0.500 0.266 0.627
Tm: 0.500 0.734 0.373
Tm: 0.500 0.234 0.127
Tm: 0.500 0.766 0.873
In: 0.000 0.000 0.500
In: 0.000 0.500 0.000
Hg: 0.000 0.000 0.000
Hg: 0.000 0.500 0.500
Hg: 0.000 0.515 0.752
Hg: 0.000 0.485 0.248
Hg: 0.000 0.985 0.252
Hg: 0.000 0.015 0.748
Hg: 0.500 0.263 0.877
Hg: 0.500 0.737 0.123
Hg: 0.500 0.237 0.377
Hg: 0.500 0.763 0.623

11.
A plane-wave DFT calculation with PBE was carried out for a geometry-optimized Tm3In2Hg6 structure.

M_tot (Bohr magnetons per cell): 0.000
Formation enthalpy at 0 K (eV per atom): -0.15
Crystal system: tetragonal

a b c (Å): 4.503 4.503 15.189
angles (deg): 98.52 98.52 90.00
Element x y z (fractional)
Tm: 0.000 0.000 0.000
Tm: 0.849 0.849 0.698
Tm: 0.151 0.151 0.302
In: 0.354 0.354 0.708
In: 0.646 0.646 0.292
Hg: 0.071 0.571 0.143
Hg: 0.571 0.071 0.143
Hg: 0.929 0.429 0.857
Hg: 0.429 0.929 0.857
Hg: 0.747 0.747 0.494
Hg: 0.253 0.253 0.506

12.
A plane-wave DFT calculation with PBE was carried out for a geometry-optimized Tm2In2Hg7 structure.

M_tot (Bohr magnetons per cell): 0.000
Formation enthalpy at 0 K (eV per atom): -0.19
Crystal system: orthorhombic

a b c (Å): 4.716 9.240 9.240
angles (deg): 45.12 75.21 75.21
Element x y z (fractional)
Tm: 0.710 0.917 0.663
Tm: 0.290 0.337 0.083
In: 0.000 0.628 0.372
In: 0.500 0.317 0.683
Hg: 0.863 0.044 0.229
Hg: 0.866 0.474 0.794
Hg: 0.500 0.914 0.086
Hg: 0.665 0.458 0.212
Hg: 0.335 0.788 0.542
Hg: 0.137 0.771 0.956
Hg: 0.134 0.206 0.526